TaTcCl2 | GGA-PBE | relaxed

POSCAR file:
```
TaTcCl2
1.0
7.280 0.044 0.016
6.602 3.070 0.016
0.404 0.091 4.298
Cl Tc Ta
2 1 1
Direct
0.889 0.889 0.038
0.611 0.611 0.462
0.750 0.750 0.750
0.250 0.250 0.250
```

Calculated values
SG: No. 12
Raw total energy in eV/atom: -6.653
Polymorph energy (0 for the lowest one) in meV per atom: 325.8